No. 1
VASP calculation (PBE-GGA) on BaSr2NbF after structural relaxation.

```
BaSr2NbF
1.0
-6.731 1.959 0.394
-0.273 -0.004 -4.646
-1.956 -6.742 0.120
Sr Nb Ba F
2 1 1 1
direct
0.000 0.000 0.500 Sr
0.500 0.000 0.000 Sr
0.500 0.500 0.500 Nb
0.000 0.000 0.000 Ba
0.000 0.500 0.000 F
```

Values from the calculation:
DOS(E_F): 0.856 states/eV/atom
magnetization: 3.946 μB/cell
ΔE_f (raw): 227.9 meV per atom

No. 2
VASP calculation (PBE-GGA) on Ba2TaNbF after structural relaxation.

```
Ba2TaNbF
1.0
6.500 0.000 0.000
0.000 4.774 0.000
0.000 0.000 6.500
Nb F Ba Ta
1 1 2 1
direct
0.000 0.500 0.000 Nb
0.500 0.500 0.500 F
0.000 0.000 0.500 Ba
0.500 0.000 0.000 Ba
0.000 0.000 0.000 Ta
```

Values from the calculation:
DOS(E_F): 0.967 states/eV/atom
magnetization: 0.000 μB/cell
ΔE_f (raw): 414.7 meV per atom

No. 3
VASP calculation (PBE-GGA) on BaNbTcF2 after structural relaxation.

```
BaNbTcF2
1.0
4.343 0.000 0.000
0.000 7.250 0.000
0.000 0.000 4.343
Nb F Ba Tc
1 2 1 1
direct
0.500 0.500 0.500 Nb
0.000 0.000 0.500 F
0.500 0.000 0.000 F
0.000 0.500 0.000 Ba
0.000 0.000 0.000 Tc
```

Values from the calculation:
DOS(E_F): 0.704 states/eV/atom
magnetization: 7.565 μB/cell
ΔE_f (raw): 377.5 meV per atom